This record from Alexandria via LeMat-Bulk describes crystalline Ba4SbOs at its relaxed geometry. The functional is PBE.

Unit cell a=6.8586 b=6.8586 c=6.8586 alpha=60.00 beta=60.00 gamma=60.00
Positions (direct):
Ba 0.8747 0.3751 0.3751
Sb 0.0000 0.0000 0.0000
Ba 0.3751 0.3751 0.8747
Ba 0.3751 0.3751 0.3751
Ba 0.3751 0.8747 0.3751
Os 0.7500 0.7500 0.7500

Computed properties:
Total DFT energy (no corrections) = -2.91 eV per atom
Formation energy (no corrections) = 536 kJ/mol of formula units
V = 38.0 Å³/atom